Computed, not measured: a relaxed structure of Cd3CoCl at the PBE-GGA level of DFT.

It has space group Pm-3m (No. 221), with a = 5.072 Å, b = 5.072 Å, c = 5.072 Å, α = 90.00°, β = 90.00° and γ = 90.00°. The asymmetric unit holds Cd at (0.000, 0.000, 0.500), Co at (0.000, 0.000, 0.000) and Cl at (0.500, 0.500, 0.500).

The value obtained for the energy above the most stable polymorph in this dataset is 0 meV per atom. The density of states at the Fermi level comes out at 8.96 states/eV/cell. Its formation energy from raw total energies is 0.24 eV/atom.